1.
A plane-wave DFT calculation with PBE-GGA was carried out for Sr2EuTl after structural relaxation.

Unit cell a=6.0537 b=6.0537 c=6.0537 alpha=60.00 beta=60.00 gamma=60.00
Fractional positions:
Sr1 0.2500 0.2500 0.2500
Sr2 0.7500 0.7500 0.7500
Eu1 0.0000 0.0000 0.0000
Tl1 0.5000 0.5000 0.5000

Computed properties:
- energy above the most stable polymorph in this dataset (meV per atom) = 79
- total moment (Bohr magnetons per cell) = 7.59
- volume (Å³ per atom) = 39.218

2.
A plane-wave DFT calculation with PBE-GGA was carried out for SrEuTl4 after structural relaxation.

Unit cell a=6.4804 b=6.4804 c=6.4804 alpha=60.00 beta=60.00 gamma=60.00
Fractional positions:
Sr1 0.0000 0.0000 0.0000
Eu1 0.7500 0.7500 0.7500
Tl1 0.3752 0.3752 0.3752
Tl2 0.3752 0.3752 0.8745
Tl3 0.3752 0.8745 0.3752
Tl4 0.8745 0.3752 0.3752

Computed properties:
- total moment (Bohr magnetons per cell) = 7.52
- volume (Å³ per atom) = 32.073
- final energy (eV/atom) = -3.82

3.
A plane-wave DFT calculation with PBE-GGA was carried out for Sr2EuTl after structural relaxation.

Unit cell a=13.7378 b=13.7378 c=13.7378 alpha=16.79 beta=16.79 gamma=16.79
Fractional positions:
Sr1 0.0839 0.0839 0.0839
Sr2 0.9161 0.9161 0.9161
Eu1 0.5000 0.5000 0.5000
Tl1 0.0000 0.0000 0.0000

Computed properties:
- energy above the most stable polymorph in this dataset (meV per atom) = 280
- total moment (Bohr magnetons per cell) = 7.54
- volume (Å³ per atom) = 47.190

4.
A plane-wave DFT calculation with PBE-GGA was carried out for SrEuTl after structural relaxation.

Unit cell a=5.6286 b=5.6286 c=5.6286 alpha=60.00 beta=60.00 gamma=60.00
Fractional positions:
Sr1 0.0000 0.0000 0.0000
Eu1 0.5000 0.5000 0.5000
Tl1 0.2500 0.2500 0.2500

Computed properties:
- energy above the most stable polymorph in this dataset (meV per atom) = 6
- total moment (Bohr magnetons per cell) = 7.50
- volume (Å³ per atom) = 42.031

5.
A plane-wave DFT calculation with PBE-GGA was carried out for SrEuTl after structural relaxation.

Unit cell a=10.2602 b=10.2602 c=10.2602 alpha=159.28 beta=159.28 gamma=29.47
Fractional positions:
Sr1 0.0000 0.0000 0.0000
Eu1 0.6591 0.6591 0.0000
Tl1 0.8268 0.8268 0.0000

Computed properties:
- energy above the most stable polymorph in this dataset (meV per atom) = 388
- total moment (Bohr magnetons per cell) = 7.76
- volume (Å³ per atom) = 45.050

6.
A plane-wave DFT calculation with PBE-GGA was carried out for Sr2EuTl after structural relaxation.

Unit cell a=5.4099 b=5.4099 c=5.3416 alpha=90.00 beta=90.00 gamma=90.00
Fractional positions:
Sr1 0.0000 0.5000 0.0000
Sr2 0.5000 0.0000 0.0000
Eu1 0.0000 0.0000 0.5000
Tl1 0.5000 0.5000 0.5000

Computed properties:
- energy above the most stable polymorph in this dataset (meV per atom) = 59
- total moment (Bohr magnetons per cell) = 7.43
- volume (Å³ per atom) = 39.083

7.
A plane-wave DFT calculation with PBE-GGA was carried out for SrEuTl after structural relaxation.

Unit cell a=5.6747 b=5.6747 c=4.0563 alpha=90.00 beta=90.00 gamma=120.00
Fractional positions:
Sr1 0.0000 0.0000 0.0000
Eu1 0.3333 0.6667 0.4568
Tl1 0.6667 0.3333 0.6483

Computed properties:
- energy above the most stable polymorph in this dataset (meV per atom) = 0
- total moment (Bohr magnetons per cell) = 7.43
- volume (Å³ per atom) = 37.707

8.
A plane-wave DFT calculation with PBE-GGA was carried out for Sr2EuTl after structural relaxation.

Unit cell a=4.0143 b=4.0143 c=10.5058 alpha=90.00 beta=90.00 gamma=90.00
Fractional positions:
Sr1 0.0000 0.0000 0.1990
Sr2 0.0000 0.0000 0.8010
Eu1 0.5000 0.5000 0.5000
Tl1 0.5000 0.5000 0.0000

Computed properties:
- energy above the most stable polymorph in this dataset (meV per atom) = 0
- total moment (Bohr magnetons per cell) = 8.05
- volume (Å³ per atom) = 42.323

9.
A plane-wave DFT calculation with PBE-GGA was carried out for SrEuTlZn after structural relaxation.

Unit cell a=5.5856 b=5.5856 c=5.5856 alpha=60.00 beta=60.00 gamma=60.00
Fractional positions:
Sr1 0.0000 0.0000 0.0000
Eu1 0.5000 0.5000 0.5000
Tl1 0.7500 0.7500 0.7500
Zn1 0.2500 0.2500 0.2500

Computed properties:
- total moment (Bohr magnetons per cell) = 7.03
- volume (Å³ per atom) = 30.805
- final energy (eV/atom) = -4.21

10.
A plane-wave DFT calculation with PBE-GGA was carried out for SrEuTm2 after structural relaxation.

Unit cell a=5.9133 b=5.9133 c=5.9133 alpha=60.00 beta=60.00 gamma=60.00
Fractional positions:
Sr1 0.0000 0.0000 0.0000
Eu1 0.5000 0.5000 0.5000
Tm1 0.2500 0.2500 0.2500
Tm2 0.7500 0.7500 0.7500

Computed properties:
- total moment (Bohr magnetons per cell) = 7.57
- volume (Å³ per atom) = 36.553
- final energy (eV/atom) = -4.96

11.
A plane-wave DFT calculation with PBE-GGA was carried out for SrEuY after structural relaxation.

Unit cell a=8.7964 b=8.7964 c=8.7964 alpha=154.62 beta=154.62 gamma=36.20
Fractional positions:
Sr1 0.0000 0.0000 0.0000
Eu1 0.6849 0.6849 0.0000
Y1 0.3314 0.3314 0.0000

Computed properties:
- energy above the most stable polymorph in this dataset (meV per atom) = 0
- total moment (Bohr magnetons per cell) = 8.27
- volume (Å³ per atom) = 41.640

12.
A plane-wave DFT calculation with PBE-GGA was carried out for SrEu4Y after structural relaxation.

Unit cell a=7.1253 b=7.1253 c=7.1253 alpha=60.00 beta=60.00 gamma=60.00
Fractional positions:
Sr1 0.0000 0.0000 0.0000
Eu1 0.3765 0.3765 0.3765
Eu2 0.3765 0.3765 0.8705
Eu3 0.3765 0.8705 0.3765
Eu4 0.8705 0.3765 0.3765
Y1 0.7500 0.7500 0.7500

Computed properties:
- total moment (Bohr magnetons per cell) = 30.70
- volume (Å³ per atom) = 42.634
- final energy (eV/atom) = -8.02

13.
A plane-wave DFT calculation with PBE-GGA was carried out for SrEuY after structural relaxation.

Unit cell a=3.8605 b=3.8605 c=9.5567 alpha=90.00 beta=90.00 gamma=120.00
Fractional positions:
Sr1 0.0000 0.0000 0.0000
Eu1 0.3333 0.6667 0.6387
Y1 0.6667 0.3333 0.3344

Computed properties:
- energy above the most stable polymorph in this dataset (meV per atom) = 2
- total moment (Bohr magnetons per cell) = 7.90
- volume (Å³ per atom) = 41.117

14.
A plane-wave DFT calculation with PBE-GGA was carried out for SrYbEu2 after structural relaxation.

Unit cell a=6.2993 b=6.2993 c=6.2993 alpha=60.00 beta=60.00 gamma=60.00
Fractional positions:
Sr1 0.0000 0.0000 0.0000
Yb1 0.5000 0.5000 0.5000
Eu1 0.2500 0.2500 0.2500
Eu2 0.7500 0.7500 0.7500

Computed properties:
- total moment (Bohr magnetons per cell) = 15.22
- volume (Å³ per atom) = 44.187
- final energy (eV/atom) = -5.93

15.
A plane-wave DFT calculation with PBE-GGA was carried out for SrEu2Zn after structural relaxation.

Unit cell a=5.1365 b=5.1365 c=5.4486 alpha=90.00 beta=90.00 gamma=90.00
Fractional positions:
Sr1 0.0000 0.0000 0.0000
Eu1 0.0000 0.5000 0.5000
Eu2 0.5000 0.0000 0.5000
Zn1 0.5000 0.5000 0.0000

Computed properties:
- energy above the most stable polymorph in this dataset (meV per atom) = 176
- total moment (Bohr magnetons per cell) = 15.72
- volume (Å³ per atom) = 35.938

16.
A plane-wave DFT calculation with PBE-GGA was carried out for SrEu2Zn after structural relaxation.

Unit cell a=3.8836 b=3.8836 c=9.8222 alpha=90.00 beta=90.00 gamma=90.00
Fractional positions:
Sr1 0.0000 0.0000 0.0000
Eu1 0.5000 0.5000 0.3200
Eu2 0.5000 0.5000 0.6800
Zn1 0.0000 0.0000 0.5000

Computed properties:
- energy above the most stable polymorph in this dataset (meV per atom) = 0
- total moment (Bohr magnetons per cell) = 14.76
- volume (Å³ per atom) = 37.035